First-principles (PBE with a Hubbard U) data for a relaxed structure of GaFePO2, as listed in Alexandria via LeMat-Bulk.

Output
volume = 70.77 Å³ per cell
distance to the lowest polymorph of the same formula = 0 kJ/mol of formula units

```
data_GaFePO2
_chemical_formula_sum 'Ga1 Fe1 P1 O2'
_symmetry_space_group_name_H-M 'P 4/m m m'
_symmetry_Int_Tables_number 123
_symmetry_space_group_name_Hall '-P 4 2'
_cell_length_a 3.714
_cell_length_b 3.714
_cell_length_c 5.131
_cell_angle_alpha 90.00
_cell_angle_beta 90.00
_cell_angle_gamma 90.00
loop_
_atom_site_label
_atom_site_fract_x
_atom_site_fract_y
_atom_site_fract_z
Ga1 0.000 0.000 0.000
Fe1 0.500 0.500 0.500
P1 0.500 0.500 0.000
O1 0.000 0.500 0.500
```